The following is a DFT calculation (PBE) of a relaxed TbErSnCl2 crystal.

Summary:
For the total magnetization, the calculation gives 0.0 μB per formula unit. The calculation puts the theoretical density at 5.77 Mg/m³. The calculation puts the calculated total energy at -4.839 eV per atom.

abc: 4.173 4.173 9.846
angles: 90.00 90.00 120.00
Fractional positions:
Tb 0.000 0.000 0.000
Er 0.333 0.667 0.634
Sn 0.667 0.333 0.815
Cl 0.000 0.000 0.485
Cl 0.333 0.667 0.153

***

The following is a DFT calculation (PBE) of a relaxed ErTe2Cl2 crystal.

Summary:
For the total magnetization, the calculation gives 0.0 μB per formula unit. The calculation puts the theoretical density at 4.74 Mg/m³. The calculation puts the calculated total energy at -4.300 eV per atom.

abc: 7.923 7.923 7.187
angles: 96.18 96.18 127.85
Fractional positions:
Er 0.175 0.825 0.000
Er 0.825 0.175 0.000
Te 0.097 0.097 0.344
Te 0.261 0.261 0.933
Te 0.739 0.739 0.067
Te 0.903 0.903 0.656
Cl 0.096 0.570 0.238
Cl 0.430 0.904 0.762
Cl 0.570 0.096 0.238
Cl 0.904 0.430 0.762